A relaxed Sm3Y crystal. Source: Alexandria, functional GGA-PBE.

Summary:
- magnetic moment (μB per atom) = 0.0000
- E above lowest polymorph (eV/atom) = 0.002
- formation enthalpy at 0 K (meV per atom) = 15

extended XYZ file:
```
4
Lattice="5.1162 0.0000 0.0000 0.0000 5.1162 0.0000 -2.5581 -2.5581 5.1041" Properties=species:S:1:pos:R:3 pbc="T T T"
Y 0.0000 0.0000 0.0000
Sm 2.5581 0.0000 2.5521
Sm 0.0000 2.5581 2.5521
Sm 2.5581 2.5581 0.0000
```

A relaxed Rb4Pa3RhSe8 crystal. Source: Alexandria, functional GGA-PBE.

Summary:
- energy relative to the elements, uncorrected (eV/atom) = -1.130
- magnetic moment (μB per atom) = 0.3340

extended XYZ file:
```
16
Lattice="8.2972 0.0000 0.0000 0.0000 9.3877 0.7515 -4.1486 -4.1439 5.8763" Properties=species:S:1:pos:R:3 pbc="T T T"
Rb 4.1486 0.0000 0.0000
Rb 2.0743 -2.0719 2.9382
Rb 0.0000 0.0000 0.0000
Rb -2.0743 -2.0719 2.9382
Pa 4.1486 4.6938 0.3757
Pa 2.0743 2.6219 3.3139
Pa -2.0743 2.6219 3.3139
Rh 0.0000 4.6938 0.3757
Se -2.1159 2.5058 6.1933
Se 0.0000 4.6186 3.2041
Se 0.0000 0.5864 3.3463
Se 2.1159 2.5058 6.1933
Se 2.0327 2.7380 0.4346
Se 4.1486 4.6575 3.2815
Se 4.1486 0.6252 3.4238
Se 6.2645 2.7380 0.4346
```

A relaxed Tb6Pr2Sm crystal. Source: Alexandria, functional GGA-PBE.

Summary:
- magnetic moment (μB per atom) = 0.0000
- E above lowest polymorph (eV/atom) = 0.009
- formation enthalpy at 0 K (meV per atom) = 104

extended XYZ file:
```
9
Lattice="3.4667 0.0058 0.6197 0.9442 8.6781 4.6081 0.0191 -0.2698 9.8672" Properties=species:S:1:pos:R:3 pbc="T T T"
Tb 3.1738 2.9831 2.2012
Tb 1.5639 8.4063 11.1451
Tb 1.2563 5.4310 12.8938
Tb 2.0411 2.5246 8.5363
Tb 2.8662 0.0078 3.9499
Tb 2.3890 5.8895 6.5586
Pr 3.5590 5.5274 10.0303
Pr 0.8711 2.8867 5.0647
Sm 0.0000 0.0000 0.0000
```